No. 1
# NaY2Br | the Alexandria database | PBE-GGA | optimized geometry
# Magnetization   5.9 μB/cell
# E above lowest polymorph   0 meV/atom
# Formation energy from raw total energies   -0.10 eV/atom
data_NaY2Br
_space_group_name_H-M_alt 'I -4 2 d'
_space_group_IT_number 122
_space_group_name_Hall 'I -4 2bw'
_cell_length_a 8.906
_cell_length_b 8.906
_cell_length_c 6.577
_cell_angle_alpha 90.00
_cell_angle_beta 90.00
_cell_angle_gamma 90.00
loop_
_atom_site_label
_atom_site_fract_x
_atom_site_fract_y
_atom_site_fract_z
_atom_site_occupancy
Na1 0.000 0.000 0.000 1
Y1 0.176 0.750 0.625 1
Br1 0.000 0.000 0.500 1

=====

No. 2
# Ca2BeP | the Alexandria database | PBE-GGA | optimized geometry
# Magnetization   0.0 μB/cell
# E above lowest polymorph   0 meV/atom
# Energy of formation from the pure elements   -0.5594 eV per atom
data_Ca2BeP
_space_group_name_H-M_alt 'A m m 2'
_space_group_IT_number 38
_cell_length_a 3.801
_cell_length_b 4.222
_cell_length_c 10.943
_cell_angle_alpha 90.00
_cell_angle_beta 90.00
_cell_angle_gamma 90.00
loop_
_space_group_symop_operation_xyz
'x,y,z'
'-x,-y,z'
'-x,y,z'
'x,-y,z'
'x,y+1/2,z+1/2'
'-x,-y+1/2,z+1/2'
'-x,y+1/2,z+1/2'
'x,-y+1/2,z+1/2'
loop_
_atom_site_label
_atom_site_fract_x
_atom_site_fract_y
_atom_site_fract_z
_atom_site_occupancy
Ca1 0.000 0.000 0.000 1
Ca2 0.500 0.000 0.282 1
Be1 0.500 0.000 0.589 1
P1 0.000 0.000 0.701 1

=====

No. 3
# NdEr2Zr | the Alexandria database | PBE-GGA | optimized geometry
# Magnetization   5.4 μB/cell
# E above lowest polymorph   139 meV/atom
# Energy of formation from the pure elements   0.2157 eV per atom
data_NdEr2Zr
_space_group_name_H-M_alt 'F m -3 m'
_space_group_IT_number 225
_space_group_name_Hall '-F 4 2 3'
_cell_length_a 7.778
_cell_length_b 7.778
_cell_length_c 7.778
_cell_angle_alpha 90.00
_cell_angle_beta 90.00
_cell_angle_gamma 90.00
loop_
_atom_site_label
_atom_site_fract_x
_atom_site_fract_y
_atom_site_fract_z
_atom_site_occupancy
Nd1 0.000 0.000 0.000 1
Er1 0.250 0.250 0.250 1
Zr1 0.000 0.000 0.500 1

=====

No. 4
# Ge3Pb5Br16 | the Alexandria database | PBE-GGA | optimized geometry
# Magnetization   0.0 μB/cell
# Formation energy from raw total energies   -0.77 eV/atom
data_Ge3Pb5Br16
_space_group_name_H-M_alt 'C 1 m 1'
_space_group_IT_number 8
_cell_length_a 15.075
_cell_length_b 8.556
_cell_length_c 13.901
_cell_angle_alpha 90.00
_cell_angle_beta 91.06
_cell_angle_gamma 90.00
loop_
_space_group_symop_operation_xyz
'x,y,z'
'x,-y,z'
'x+1/2,y+1/2,z'
'x+1/2,-y+1/2,z'
loop_
_atom_site_label
_atom_site_fract_x
_atom_site_fract_y
_atom_site_fract_z
_atom_site_occupancy
Ge1 0.000 0.000 0.000 1
Ge2 0.421 0.249 0.494 1
Pb1 0.161 0.000 0.261 1
Pb2 0.169 0.500 0.489 1
Pb3 0.248 0.249 0.989 1
Pb4 0.491 0.000 0.755 1
Br1 0.066 0.253 0.613 1
Br2 0.077 0.231 0.113 1
Br3 0.162 0.000 0.869 1
Br4 0.173 0.500 0.854 1
Br5 0.257 0.258 0.368 1
Br6 0.320 0.000 0.127 1
Br7 0.342 0.000 0.603 1
Br8 0.347 0.500 0.603 1
Br9 0.354 0.500 0.111 1
Br10 0.416 0.260 0.876 1
Br11 0.493 0.000 0.378 1
Br12 0.493 0.500 0.385 1